1.
This record from the Alexandria database describes a geometry-optimized DyErSc2 structure. The functional is PBE.

## Properties
The calculation puts the energy above the most stable polymorph in this dataset at 0.008 eV per atom. For the formation energy, the calculation gives 4.9 kJ per mole of atoms.

Unit cell a=3.4375 b=3.4375 c=9.3498 alpha=90.00 beta=90.00 gamma=90.00
With the nearest neighbours (Å) after each atom.
Sites, in units of the cell vectors:
Sc 0.0000 0.0000 0.7509  4 Er 3.37, 4 Dy 3.38, 4 Sc 3.44
Sc 0.0000 0.0000 0.2491  4 Er 3.37, 4 Dy 3.38, 4 Sc 3.44
Dy 0.5000 0.5000 0.5000  8 Sc 3.38, 4 Dy 3.44
Er 0.5000 0.5000 0.0000  8 Sc 3.37, 4 Er 3.44

2.
This record from the Alexandria database describes a geometry-optimized Na2CdGaO4 structure. The functional is PBE.

## Properties
For the raw formation energy, the calculation gives -1.36 eV per atom.

Unit cell a=3.1815 b=5.5637 c=5.7657 alpha=108.28 beta=90.00 gamma=90.00
With the nearest neighbours (Å) after each atom.
Sites, in units of the cell vectors:
Na 0.5000 0.0000 0.5000  6 O 2.36
Na 0.0000 0.5000 0.5000  6 O 2.50-2.59
Cd 0.5000 0.5000 0.0000  6 O 2.26-2.28
Ga 0.0000 0.0000 0.0000  6 O 2.00-2.12
O 0.5000 0.2151 0.2055  2 Ga 2.12, 1 Cd 2.26, 1 Na 2.36
O 0.5000 0.7849 0.7945  2 Ga 2.12, 1 Cd 2.26, 1 Na 2.36
O 0.0000 0.2252 0.7888  1 Ga 2.00
O 0.0000 0.7748 0.2112  1 Ga 2.00

3.
This record from the Alexandria database describes a geometry-optimized SnH8N2Cl6 structure. The functional is PBE.

## Properties
The calculation puts the energy above the most stable polymorph in this dataset at 0.000 eV per atom.

Unit cell a=7.2326 b=7.2326 c=7.2326 alpha=60.00 beta=60.00 gamma=60.00
With the nearest neighbours (Å) after each atom.
Sites, in units of the cell vectors:
Sn 0.0000 0.0000 0.0000  6 Cl 2.47
H 0.6917 0.6917 0.6917  1 N 1.03
H 0.0751 0.3083 0.3083  1 N 1.03
H 0.3083 0.3083 0.0751  1 N 1.03
H 0.3083 0.0751 0.3083  1 N 1.03
H 0.6917 0.6917 0.9249  1 N 1.03
H 0.6917 0.9249 0.6917  1 N 1.03
H 0.9249 0.6917 0.6917  1 N 1.03
H 0.3083 0.3083 0.3083  1 N 1.03
N 0.7500 0.7500 0.7500  4 H 1.03
N 0.2500 0.2500 0.2500  4 H 1.03
Cl 0.7582 0.7582 0.2418  1 Sn 2.47
Cl 0.7582 0.2418 0.7582  1 Sn 2.47
Cl 0.2418 0.7582 0.2418  1 Sn 2.47
Cl 0.2418 0.7582 0.7582  1 Sn 2.47
Cl 0.7582 0.2418 0.2418  1 Sn 2.47
Cl 0.2418 0.2418 0.7582  1 Sn 2.47

4.
This record from the Alexandria database describes a geometry-optimized As3AuS structure. The functional is PBE.

## Properties
The calculation puts the energy above the most stable polymorph in this dataset at 0.000 eV per atom. For the raw formation energy, the calculation gives 0.83 eV per atom.

Unit cell a=4.7787 b=4.7787 c=4.7787 alpha=90.00 beta=90.00 gamma=90.00
With the nearest neighbours (Å) after each atom.
Sites, in units of the cell vectors:
As 0.0000 0.5000 0.0000  2 S 2.39
As 0.0000 0.0000 0.5000  2 S 2.39
As 0.5000 0.0000 0.0000  2 S 2.39
Au 0.5000 0.5000 0.5000  12 As 3.38
S 0.0000 0.0000 0.0000  6 As 2.39

5.
This record from the Alexandria database describes a geometry-optimized NaCa2LaPd structure. The functional is PBE.

## Properties
For the formation energy, the calculation gives -25.1 kJ per mole of atoms.

Unit cell a=5.8070 b=5.8070 c=5.5739 alpha=90.00 beta=90.00 gamma=90.00
With the nearest neighbours (Å) after each atom.
Sites, in units of the cell vectors:
Na 0.5000 0.5000 0.5000  8 Ca 4.02, 4 La 4.11
Ca 0.0000 0.5000 0.0000  2 Pd 2.90
Ca 0.5000 0.0000 0.0000  2 Pd 2.90
Pd 0.0000 0.0000 0.0000  2 La 2.79, 4 Ca 2.90
La 0.0000 0.0000 0.5000  2 Pd 2.79

6.
This record from the Alexandria database describes a geometry-optimized Ag2AsSCl structure. The functional is PBE.

## Properties
For the raw formation energy, the calculation gives 0.79 eV per atom.

Unit cell a=4.8051 b=5.3701 c=4.8051 alpha=90.00 beta=90.00 gamma=90.00
With the nearest neighbours (Å) after each atom.
Sites, in units of the cell vectors:
As 0.0000 0.5000 0.0000  2 Cl 2.69
S 0.5000 0.5000 0.5000  4 As 3.40, 8 Ag 3.60
Ag 0.0000 0.0000 0.5000  2 Cl 2.40
Ag 0.5000 0.0000 0.0000  2 Cl 2.40
Cl 0.0000 0.0000 0.0000  4 Ag 2.40, 2 As 2.69

7.
This record from the Alexandria database describes a geometry-optimized AcLaAgPt structure. The functional is PBE.

## Properties
The calculation puts the energy above the most stable polymorph in this dataset at 0.051 eV per atom. For the formation energy, the calculation gives -61.6 kJ per mole of atoms.

Unit cell a=5.3690 b=5.3690 c=5.3690 alpha=60.00 beta=60.00 gamma=60.00
With the nearest neighbours (Å) after each atom.
Sites, in units of the cell vectors:
Ac 0.0000 0.0000 0.0000  4 Pt 3.29, 4 Ag 3.29
Ag 0.2500 0.2500 0.2500  4 Ac 3.29, 4 La 3.29
Pt 0.7500 0.7500 0.7500  4 La 3.29, 4 Ac 3.29
La 0.5000 0.5000 0.5000  4 Pt 3.29, 4 Ag 3.29

8.
This record from the Alexandria database describes a geometry-optimized La5Nd2Dy3 structure. The functional is PBE.

## Properties
For the formation energy, the calculation gives 15.2 kJ per mole of atoms.

Unit cell a=10.2316 b=10.2197 c=11.3838 alpha=129.34 beta=129.36 gamma=65.68
With the nearest neighbours (Å) after each atom.
Sites, in units of the cell vectors:
La 0.2762 0.5262 0.0524  1 La 3.10, 2 Dy 3.45
La 0.7238 0.4738 0.9476  1 La 3.10, 2 Dy 3.45
La 0.0245 0.7745 0.5490  3 Dy 3.09-3.46
La 0.5166 0.2666 0.5331  1 La 3.10, 2 Nd 3.45
La 0.9755 0.2255 0.4510  3 Dy 3.09-3.46
La 0.4834 0.7334 0.4669  1 La 3.10, 2 Nd 3.45
La 0.8817 0.6283 0.7590  3 Dy 3.48-3.83, 3 La 3.52-3.59, 2 Nd 3.86-3.88
La 0.1183 0.3717 0.2410  3 Dy 3.48-3.83, 3 La 3.52-3.59, 2 Nd 3.86-3.88
La 0.3773 0.1307 0.7590  3 Dy 3.48-3.83, 3 La 3.52-3.59, 2 Nd 3.86-3.88
La 0.6227 0.8693 0.2410  3 Dy 3.48-3.83, 3 La 3.52-3.59, 2 Nd 3.86-3.88
Nd 0.7851 0.0338 0.7571  3 Dy 3.29-3.55, 4 La 3.45-3.62
Nd 0.2149 0.9662 0.2429  3 Dy 3.29-3.55, 4 La 3.45-3.62
Nd 0.4720 0.7233 0.7571  3 Dy 3.29-3.55, 4 La 3.45-3.62
Nd 0.5280 0.2767 0.2429  3 Dy 3.29-3.55, 4 La 3.45-3.62
Dy 0.2312 0.9812 0.9624  1 La 3.09, 2 Nd 3.40
Dy 0.7688 0.0188 0.0376  1 La 3.09, 2 Nd 3.40
Dy 0.7239 0.4684 0.2477  1 Nd 3.29, 5 La 3.45-3.65, 1 Dy 3.57
Dy 0.2761 0.5316 0.7523  1 Nd 3.29, 5 La 3.45-3.65, 1 Dy 3.57
Dy 0.0237 0.7793 0.2477  1 Nd 3.29, 5 La 3.45-3.65, 1 Dy 3.57
Dy 0.9763 0.2207 0.7523  1 Nd 3.29, 5 La 3.45-3.65, 1 Dy 3.57

9.
This record from the Alexandria database describes a geometry-optimized Ac2NbGeN5 structure. The functional is PBE.

## Properties
For the raw formation energy, the calculation gives -0.83 eV per atom.

Unit cell a=3.3406 b=7.8059 c=10.6572 alpha=90.00 beta=90.00 gamma=102.36
With the nearest neighbours (Å) after each atom.
Sites, in units of the cell vectors:
Ac 0.8743 0.7485 0.8043  6 N 2.55-2.73
Ac 0.1134 0.2267 0.6888  8 N 2.65-2.89
Ac 0.1257 0.2515 0.3043  6 N 2.55-2.73
Ac 0.8866 0.7733 0.1888  8 N 2.65-2.89
Nb 0.7828 0.5657 0.5166  1 N 1.89
Nb 0.2172 0.4343 0.0166  1 N 1.89
Ge 0.5551 0.1102 0.9499  4 N 1.85-2.01
Ge 0.4449 0.8898 0.4499  4 N 1.85-2.01
N 0.3403 0.6806 0.9993  1 Nb 1.89
N 0.6788 0.3577 0.8851  1 Ge 2.01
N 0.5007 0.0013 0.7945  1 Ge 1.85
N 0.2885 0.5770 0.6427  2 Nb 2.15
N 0.9537 0.9073 0.5428  2 Ge 1.95
N 0.6597 0.3194 0.4993  1 Nb 1.89
N 0.3212 0.6423 0.3851  1 Ge 2.01
N 0.4993 0.9987 0.2945  1 Ge 1.85
N 0.7115 0.4230 0.1427  2 Nb 2.15
N 0.0463 0.0927 0.0428  2 Ge 1.95

10.
This record from the Alexandria database describes a geometry-optimized LaNd6DyEr2 structure. The functional is PBE.

## Properties
For the formation energy, the calculation gives 11.0 kJ per mole of atoms.

Unit cell a=9.7889 b=8.9599 c=8.9599 alpha=117.40 beta=94.23 gamma=94.23
With the nearest neighbours (Å) after each atom.
Sites, in units of the cell vectors:
La 0.2500 0.4055 0.5945  6 Nd 3.50-3.62, 2 Er 3.62
La 0.7500 0.5945 0.4055  6 Nd 3.50-3.62, 2 Er 3.62
Nd 0.0552 0.1097 0.7601  7 Nd 3.45-3.87, 2 Er 3.47-3.86, 2 Dy 3.68-3.83
Nd 0.4448 0.2399 0.8903  7 Nd 3.45-3.87, 2 Er 3.47-3.86, 2 Dy 3.68-3.83
Nd 0.9448 0.8903 0.2399  7 Nd 3.45-3.87, 2 Er 3.47-3.86, 2 Dy 3.68-3.83
Nd 0.5552 0.7601 0.1097  7 Nd 3.45-3.87, 2 Er 3.47-3.86, 2 Dy 3.68-3.83
Nd 0.3180 0.9815 0.4334  2 Nd 3.28-3.61, 1 Er 3.51, 1 La 3.53, 1 Dy 3.57
Nd 0.1820 0.5666 0.0185  2 Nd 3.28-3.61, 1 Er 3.51, 1 La 3.53, 1 Dy 3.57
Nd 0.6820 0.0185 0.5666  2 Nd 3.28-3.61, 1 Er 3.51, 1 La 3.53, 1 Dy 3.57
Nd 0.8180 0.4334 0.9815  2 Nd 3.28-3.61, 1 Er 3.51, 1 La 3.53, 1 Dy 3.57
Nd 0.1208 0.7045 0.4906  3 Nd 3.28-3.45, 3 Er 3.35-3.50, 2 La 3.50-3.62
Nd 0.3792 0.5094 0.2955  3 Nd 3.28-3.45, 3 Er 3.35-3.50, 2 La 3.50-3.62
Nd 0.8792 0.2955 0.5094  3 Nd 3.28-3.45, 3 Er 3.35-3.50, 2 La 3.50-3.62
Nd 0.6208 0.4906 0.7045  3 Nd 3.28-3.45, 3 Er 3.35-3.50, 2 La 3.50-3.62
Dy 0.2500 0.9696 0.0304  4 Er 3.43, 6 Nd 3.57-3.83
Dy 0.7500 0.0304 0.9696  4 Er 3.43, 6 Nd 3.57-3.83
Er 0.4534 0.8054 0.7096  6 Nd 3.35-3.71, 2 Dy 3.43, 1 La 3.62
Er 0.0466 0.2904 0.1946  6 Nd 3.35-3.71, 2 Dy 3.43, 1 La 3.62
Er 0.5466 0.1946 0.2904  6 Nd 3.35-3.71, 2 Dy 3.43, 1 La 3.62
Er 0.9534 0.7096 0.8054  6 Nd 3.35-3.71, 2 Dy 3.43, 1 La 3.62

11.
This record from the Alexandria database describes a geometry-optimized Ba2Tl4Ag structure. The functional is PBE.

## Properties
For the formation energy, the calculation gives -9.6 kJ per mole of atoms.

Unit cell a=5.4428 b=5.4428 c=9.8720 alpha=74.00 beta=74.00 gamma=90.00
With the nearest neighbours (Å) after each atom.
Sites, in units of the cell vectors:
Tl 0.8399 0.8399 0.3203  1 Ag 2.91
Tl 0.1601 0.1601 0.6797  1 Ag 2.91
Tl 0.0000 0.5000 0.0000  2 Ag 2.72
Tl 0.5000 0.0000 0.0000  2 Ag 2.72
Ba 0.6470 0.6470 0.7060  9 Tl 3.51-3.86
Ba 0.3530 0.3530 0.2940  9 Tl 3.51-3.86
Ag 0.0000 0.0000 0.0000  6 Tl 2.72-2.91

- Number 8 is which compound?
  La5Nd2Dy3